1.
Density functional theory data (PBE) for an optimized crystal structure of CaCdSN2.

Total moment in μB per cell: 1.47
ΔE_f (raw) in eV/atom: 1.25
Volume in Å³ per atom: 17.3
N(E_F) in states/eV per atom: 0.563

Cell: 4.1166 5.0938 4.1166 Å, 90.00 90.00 90.00°
Each line ends with the local moment (μB).
Sites, in units of the cell vectors:
Ca1 0.0000 0.5000 0.0000  -0.02
N1 0.0000 0.0000 0.5000  0.50
N2 0.5000 0.0000 0.0000  0.59
Cd1 0.5000 0.5000 0.5000  0.00
S1 0.0000 0.0000 0.0000  0.03

---

2.
Density functional theory data (PBE) for an optimized crystal structure of Ca2CdSbN.

Total moment in μB per cell: 0.00
ΔE_f (raw) in eV/atom: -0.69
Volume in Å³ per atom: 22.0
N(E_F) in states/eV per atom: 0.129

Cell: 4.9147 4.9147 4.5616 Å, 90.00 90.00 90.00°
Sites, in units of the cell vectors:
N1 0.0000 0.0000 0.0000
Cd1 0.0000 0.0000 0.5000
Ca1 0.5000 0.0000 0.0000
Ca2 0.0000 0.5000 0.0000
Sb1 0.5000 0.5000 0.5000

---

3.
Density functional theory data (PBE) for an optimized crystal structure of Ca2ScCdN.

Total moment in μB per cell: 0.00
ΔE_f (raw) in eV/atom: -0.69
Volume in Å³ per atom: 22.2
N(E_F) in states/eV per atom: 1.051

Cell: 5.0633 5.0633 4.3289 Å, 90.00 90.00 90.00°
Sites, in units of the cell vectors:
Cd1 0.5000 0.5000 0.5000
Ca1 0.5000 0.0000 0.0000
Ca2 0.0000 0.5000 0.0000
N1 0.0000 0.0000 0.0000
Sc1 0.0000 0.0000 0.5000

---

4.
Density functional theory data (PBE) for an optimized crystal structure of CaSc2CdN.

Total moment in μB per cell: 0.00
ΔE_f (raw) in eV/atom: -0.79
Volume in Å³ per atom: 19.9
N(E_F) in states/eV per atom: 1.070

Cell: 4.4659 4.4659 4.9856 Å, 90.00 90.00 90.00°
Sites, in units of the cell vectors:
Ca1 0.0000 0.0000 0.5000
Sc1 0.0000 0.5000 0.0000
Sc2 0.5000 0.0000 0.0000
N1 0.0000 0.0000 0.0000
Cd1 0.5000 0.5000 0.5000